Record 1
VASP calculation (PBE) on a relaxed structure of AsP2RuS.

Computed properties:
- Fermi-level density of states: 3.652 states/eV per cell
- Raw formation energy: 0.66 eV/atom
- Total magnetic moment: 0.000 Bohr magnetons per cell
- Space group: P4/mmm
- Distance to the lowest polymorph of the same formula: 0.000 eV per formula unit
- DFT total energy: -25.58 eV/cell

Cell lengths 4.4289, 4.4289, 5.0607 Å; angles 90.00, 90.00, 90.00 degrees
Sites, in units of the cell vectors:
Ru 0.0000 0.0000 0.0000
As 0.5000 0.5000 0.5000
S 0.0000 0.0000 0.5000
P 0.0000 0.5000 0.0000
P 0.5000 0.0000 0.0000

***

Record 2
VASP calculation (PBE) on a relaxed structure of Pr12Sm7Sc.

Computed properties:
- Fermi-level density of states: 26.486 states/eV per cell
- Total magnetic moment: 0.000 Bohr magnetons per cell
- Space group: R-3m
- Distance to the lowest polymorph of the same formula: 0.904 eV per formula unit
- DFT total energy: -92.99 eV/cell

Cell lengths 6.3278, 11.5899, 11.5898 Å; angles 116.76, 100.49, 100.49 degrees
Sites, in units of the cell vectors:
Pr 0.0887 0.5886 0.1775
Pr 0.0888 0.1775 0.5889
Pr 0.5762 0.6465 0.0002
Pr 0.4241 0.0002 0.3537
Pr 0.4999 0.4111 0.5886
Pr 0.0704 0.6463 0.6465
Pr 0.9296 0.3537 0.3535
Pr 0.5001 0.5889 0.4114
Pr 0.5759 0.9998 0.6463
Pr 0.4238 0.3535 0.9998
Pr 0.9112 0.8225 0.4111
Pr 0.9113 0.4114 0.8225
Sm 0.1178 0.7558 0.0003
Sm 0.8825 0.0003 0.2445
Sm 0.6380 0.7555 0.7558
Sm 0.5000 0.0000 0.0000
Sm 0.3620 0.2445 0.2442
Sm 0.1175 0.9997 0.7555
Sm 0.8822 0.2442 0.9997
Sc 0.0000 0.0000 0.0000

***

Record 3
VASP calculation (PBE) on a relaxed structure of Li2AlAg.

Computed properties:
- Fermi-level density of states: 1.894 states/eV per cell
- Total magnetic moment: 0.000 Bohr magnetons per cell
- Space group: I-42d
- DFT total energy: -20.65 eV/cell

Cell lengths 7.3217, 7.3217, 5.7976 Å; angles 50.84, 50.84, 90.00 degrees
Sites, in units of the cell vectors:
Al 0.5000 0.5000 0.0000
Al 0.2500 0.7500 0.5000
Ag 0.0000 0.0000 0.0000
Ag 0.7500 0.2500 0.5000
Li 0.6395 0.1250 0.2500
Li 0.1105 0.6250 0.2500
Li 0.3750 0.3605 0.7500
Li 0.8750 0.8895 0.7500

***

Record 4
VASP calculation (PBE) on a relaxed structure of ErMo6.

Computed properties:
- Fermi-level density of states: 9.774 states/eV per cell
- Total magnetic moment: 0.001 Bohr magnetons per cell
- Space group: Im-3m
- DFT total energy: -58.80 eV/cell

Cell lengths 5.9956, 5.9956, 5.9956 Å; angles 109.47, 109.47, 109.47 degrees
Sites, in units of the cell vectors:
Er 0.0000 0.0000 0.0000
Mo 0.2500 0.7500 0.5000
Mo 0.5000 0.7500 0.2500
Mo 0.2500 0.5000 0.7500
Mo 0.7500 0.2500 0.5000
Mo 0.5000 0.2500 0.7500
Mo 0.7500 0.5000 0.2500